# CrSb2F8

Crystalline CrSb2F8 at its relaxed geometry (PBE+U, the Alexandria database).

a = 7.6889 Å, b = 6.3296 Å, c = 11.6055 Å
α = 96.91°, β = 70.65°, γ = 52.60°
Closest atoms and distances in Å follow each position.
Fractional positions:
Cr: 0.9651 0.7500 0.2500  4 F 2.04
Cr: 0.0349 0.2500 0.7500  4 F 2.04
F: 0.4284 0.7200 0.6102  1 Sb 2.02
F: 0.2117 0.7718 0.1307  1 Cr 2.04, 1 Sb 2.18
F: 0.8151 0.8104 0.1275  1 Cr 2.04, 1 Sb 2.11
F: 0.2229 0.2667 0.4026  1 Sb 2.01
F: 0.1849 0.1896 0.8725  1 Cr 2.04, 1 Sb 2.11
F: 0.8922 0.2333 0.0974  1 Sb 2.01
F: 0.7771 0.7333 0.5974  1 Sb 2.01
F: 0.2470 0.3104 0.6275  1 Cr 2.04, 1 Sb 2.11
F: 0.1078 0.7667 0.9026  1 Sb 2.01
F: 0.7587 0.7800 0.8898  1 Sb 2.02
F: 0.8858 0.2718 0.6307  1 Cr 2.04, 1 Sb 2.18
F: 0.1142 0.7282 0.3693  1 Cr 2.04, 1 Sb 2.18
F: 0.2413 0.2200 0.1102  1 Sb 2.02
F: 0.7530 0.6896 0.3725  1 Cr 2.04, 1 Sb 2.11
F: 0.5716 0.2800 0.3898  1 Sb 2.02
F: 0.7883 0.2282 0.8693  1 Cr 2.04, 1 Sb 2.18
Sb: 0.7253 0.0657 0.0176  4 F 2.01-2.18
Sb: 0.1914 0.5657 0.5176  4 F 2.01-2.18
Sb: 0.8086 0.4343 0.4824  4 F 2.01-2.18
Sb: 0.2747 0.9343 0.9824  4 F 2.01-2.18

Summary:
**E**: -5.191 eV/atom
**Total moment**: 4.00 μB/f.u.
**Volume**: 382.5 Å³/cell